No. 1
AlSb2Cl: relaxed, PBE.

abc: 7.1029 7.1029 7.1029
angles: 153.09 140.80 48.19
With the nearest neighbours (Å) after each atom.
Fractional positions:
Al1 0.0000 0.0000 0.0000  6 Sb 2.99-3.05, 2 Al 3.31
Sb1 0.5734 0.5734 0.0000  4 Al 3.05, 2 Sb 3.31
Sb2 0.8078 0.3078 0.5000  4 Cl 2.91, 2 Al 2.99
Cl1 0.2937 0.7937 0.5000  4 Sb 2.91

Results
Energy = -0.12491 Ha/atom
Size of the total moment = 0.000 μB/cell
Uncorrected formation energy = 0.060 eV/atom
Space group = Imm2 (44)
E above lowest polymorph = 39.5 kJ per mole of atoms

No. 2
AlSb2Cl8: relaxed, PBE.

abc: 8.0179 8.0179 9.3299
angles: 92.97 92.97 49.47
With the nearest neighbours (Å) after each atom.
Fractional positions:
Al1 0.0000 0.0000 0.0000  4 Cl 2.21
Sb1 0.1813 0.1813 0.3575  2 Cl 2.35-2.47
Sb2 0.8187 0.8187 0.6425  2 Cl 2.35-2.47
Cl1 0.1739 0.7047 0.8577  1 Al 2.21
Cl2 0.2901 0.2901 0.5709  1 Sb 2.47
Cl3 0.2953 0.8261 0.1423  1 Al 2.21
Cl4 0.2980 0.2980 0.1939  1 Sb 2.35
Cl5 0.7020 0.7020 0.8061  1 Sb 2.35
Cl6 0.7047 0.1739 0.8577  1 Al 2.21
Cl7 0.7099 0.7099 0.4291  1 Sb 2.47
Cl8 0.8261 0.2953 0.1423  1 Al 2.21

Results
Energy = -0.12076 Ha/atom
Size of the total moment = 1.031 μB/cell
Uncorrected formation energy = -0.853 eV/atom
Space group = C2/m (12)
E above lowest polymorph = 3.8 kJ per mole of atoms

No. 3
Al4SbCl: relaxed, PBE.

abc: 5.6073 5.6073 5.6073
angles: 60.00 60.00 60.00
With the nearest neighbours (Å) after each atom.
Fractional positions:
Al1 0.1246 0.1246 0.1246  6 Al 2.79-2.81
Al2 0.1246 0.1246 0.6262  6 Al 2.79-2.81
Al3 0.1246 0.6262 0.1246  6 Al 2.79-2.81
Al4 0.6262 0.1246 0.1246  6 Al 2.79-2.81
Sb1 0.5000 0.5000 0.5000  12 Al 3.29, 4 Cl 3.43
Cl1 0.7500 0.7500 0.7500  12 Al 3.29, 4 Sb 3.43

Results
Energy = -0.12309 Ha/atom
Size of the total moment = 0.000 μB/cell
Uncorrected formation energy = 0.141 eV/atom
Space group = F-43m (216)

No. 4
AlSb2Cl: relaxed, PBE.

abc: 11.2445 11.2445 11.2445
angles: 17.07 17.07 17.07
With the nearest neighbours (Å) after each atom.
Fractional positions:
Al1 0.0000 0.0000 0.0000  3 Cl 2.55
Sb1 0.4903 0.4903 0.4903  9 Sb 3.33-3.34
Sb2 0.7417 0.7417 0.7417  3 Al 3.15, 9 Sb 3.33-3.34
Cl1 0.2830 0.2830 0.2830  3 Al 2.55

Results
Energy = -0.13109 Ha/atom
Size of the total moment = 0.000 μB/cell
Uncorrected formation energy = -0.109 eV/atom
Space group = R3m (160)
E above lowest polymorph = 23.3 kJ per mole of atoms

No. 5
Al2Sb2Cl: relaxed, PBE.

abc: 6.7700 6.7700 6.7700
angles: 140.00 140.00 57.85
With the nearest neighbours (Å) after each atom.
Fractional positions:
Al1 0.1070 0.1070 0.0000  1 Al 2.54
Al2 0.8930 0.8930 0.0000  1 Al 2.54
Sb1 0.2500 0.7500 0.5000  4 Al 2.87
Sb2 0.7500 0.2500 0.5000  4 Al 2.87
Cl1 0.5000 0.5000 0.0000  8 Al 3.51, 8 Sb 3.76

Results
Energy = -0.13148 Ha/atom
Size of the total moment = 0.000 μB/cell
Uncorrected formation energy = -0.062 eV/atom
Space group = I4/mmm (139)
E above lowest polymorph = 0.0 kJ per mole of atoms

No. 6
AlSb2Cl: relaxed, PBE.

abc: 6.2252 6.2252 6.1265
angles: 105.05 105.05 29.72
With the nearest neighbours (Å) after each atom.
Fractional positions:
Al1 0.0000 0.0000 0.0000  2 Cl 2.43
Sb1 0.3400 0.3400 0.6440  1 Sb 2.85, 2 Al 2.96
Sb2 0.5173 0.5173 0.4154  1 Sb 2.85, 2 Al 2.96
Cl1 0.6541 0.6541 0.0115  2 Al 2.43

Results
Energy = -0.13454 Ha/atom
Size of the total moment = 0.000 μB/cell
Uncorrected formation energy = -0.203 eV/atom
Space group = Cm (8)
E above lowest polymorph = 14.2 kJ per mole of atoms

No. 7
Al2SbCl8: relaxed, PBE.

abc: 7.5488 7.5488 7.7931
angles: 91.78 91.78 66.37
With the nearest neighbours (Å) after each atom.
Fractional positions:
Al1 0.2003 0.2003 0.1914  4 Cl 2.11-2.24
Al2 0.7997 0.7997 0.8086  4 Cl 2.11-2.24
Sb1 0.0000 0.0000 0.5000  4 Cl 2.71
Cl1 0.0954 0.6843 0.6972  1 Al 2.24
Cl2 0.1801 0.1801 0.9210  1 Al 2.11
Cl3 0.3157 0.9046 0.3028  1 Al 2.24
Cl4 0.3573 0.3573 0.2924  1 Al 2.11
Cl5 0.6427 0.6427 0.7076  1 Al 2.11
Cl6 0.6843 0.0954 0.6972  1 Al 2.24
Cl7 0.8199 0.8199 0.0790  1 Al 2.11
Cl8 0.9046 0.3157 0.3028  1 Al 2.24

Results
Energy = -0.13349 Ha/atom
Size of the total moment = 1.000 μB/cell
Uncorrected formation energy = -1.234 eV/atom
Space group = C2/m (12)

No. 8
AlSb4Cl: relaxed, PBE.

abc: 6.3445 6.3445 6.3445
angles: 60.00 60.00 60.00
With the nearest neighbours (Å) after each atom.
Fractional positions:
Al1 0.0000 0.0000 0.0000  12 Sb 3.75, 4 Cl 3.89
Sb1 0.3851 0.3851 0.3851  3 Sb 2.92
Sb2 0.3851 0.3851 0.8448  3 Sb 2.92
Sb3 0.3851 0.8448 0.3851  3 Sb 2.92
Sb4 0.8448 0.3851 0.3851  3 Sb 2.92
Cl1 0.7500 0.7500 0.7500  12 Sb 3.70, 4 Al 3.89

Results
Energy = -0.12768 Ha/atom
Size of the total moment = 0.000 μB/cell
Uncorrected formation energy = 0.205 eV/atom
Space group = F-43m (216)

No. 9
AlSb2Cl: relaxed, PBE.

abc: 3.2990 5.3500 5.5987
angles: 90.00 90.00 90.00
With the nearest neighbours (Å) after each atom.
Fractional positions:
Al1 0.0000 0.0000 0.0000  4 Sb 3.14, 4 Cl 3.25, 2 Al 3.30
Sb1 0.0000 0.5000 0.5000  4 Cl 3.14, 6 Sb 3.25-3.30
Sb2 0.5000 0.5000 0.0000  4 Al 3.14, 6 Sb 3.25-3.30
Cl1 0.5000 0.0000 0.5000  4 Sb 3.14, 4 Al 3.25, 2 Cl 3.30

Results
Energy = -0.12344 Ha/atom
Size of the total moment = 0.000 μB/cell
Uncorrected formation energy = 0.099 eV/atom
Space group = Pmmm (47)
E above lowest polymorph = 43.4 kJ per mole of atoms

No. 10
AlSb2Cl: relaxed, PBE.

abc: 5.8305 5.8305 4.3537
angles: 90.00 90.00 131.00
With the nearest neighbours (Å) after each atom.
Fractional positions:
Al1 0.0000 0.0000 0.0000  2 Cl 2.42
Sb1 0.1714 0.8286 0.5000  2 Al 2.84, 2 Sb 2.94
Sb2 0.8286 0.1714 0.5000  2 Al 2.84, 2 Sb 2.94
Cl1 0.5000 0.5000 0.0000  2 Al 2.42

Results
Energy = -0.13996 Ha/atom
Size of the total moment = 0.000 μB/cell
Uncorrected formation energy = -0.350 eV/atom
Space group = Cmmm (65)
E above lowest polymorph = 0.0 kJ per mole of atoms

No. 11
AlSb2Cl: relaxed, PBE.

abc: 3.5334 3.5334 9.1779
angles: 90.00 90.00 90.00
With the nearest neighbours (Å) after each atom.
Fractional positions:
Al1 0.0000 0.0000 0.0000  4 Cl 2.83
Sb1 0.0000 0.0000 0.5415  4 Sb 3.07
Sb2 0.5000 0.5000 0.7351  4 Sb 3.07
Cl1 0.5000 0.5000 0.1451  4 Al 2.83

Results
Energy = -0.12774 Ha/atom
Size of the total moment = 0.000 μB/cell
Uncorrected formation energy = -0.017 eV/atom
Space group = P4mm (99)
E above lowest polymorph = 32.1 kJ per mole of atoms

No. 12
AlSb2Cl: relaxed, PBE.

abc: 3.2874 3.2874 11.1812
angles: 90.00 90.00 119.99
With the nearest neighbours (Å) after each atom.
Fractional positions:
Al1 0.0000 0.0000 0.0000  2 Cl 2.41
Sb1 0.0000 0.0000 0.4864  8 Sb 3.29-3.33
Sb2 0.5000 0.5000 0.2277  2 Al 3.03, 8 Sb 3.29-3.33
Cl1 0.5000 0.5000 0.8430  2 Al 2.41

Results
Energy = -0.12956 Ha/atom
Size of the total moment = 0.000 μB/cell
Uncorrected formation energy = -0.067 eV/atom
Space group = Cmm2 (35)
E above lowest polymorph = 27.3 kJ per mole of atoms

So what do the calculations give for V? Going down the list: 25.5, 41.4, 20.8, 26.7, 25.4, 28.3, 37.0, 30.1, 24.7, 27.9, 28.6, 26.2 Å³/atom.